# 1
# Ca2SnGe4Pt3

A geometry-optimized Ca2SnGe4Pt3 structure (PBE, Alexandria via LeMat-Bulk).

a b c (Å): 4.3083 4.3083 10.9602
angles (deg): 90.00 90.00 90.00
Fractional positions:
1 Pt 0.0000 0.5000 0.1218
2 Pt 0.5000 0.0000 0.8782
3 Ge 0.0000 0.0000 0.0000
4 Ge 0.0000 0.5000 0.3451
5 Ca 0.0000 0.5000 0.7584
6 Ge 0.5000 0.0000 0.6549
7 Ge 0.5000 0.5000 0.0000
8 Ca 0.5000 0.0000 0.2416
9 Pt 0.0000 0.0000 0.5000
10 Sn 0.5000 0.5000 0.5000

Computed properties:
As for the formation energy: -648.1 meV per atom. The space group is No. 115.



# 2
# BaHF3

A geometry-optimized BaHF3 structure (PBE, Alexandria via LeMat-Bulk).

a b c (Å): 5.0406 5.0406 5.0406
angles (deg): 90.00 90.00 90.00
Fractional positions:
1 H 0.5000 0.5000 0.5000
2 F 0.0000 0.0000 0.5000
3 F 0.5000 0.0000 0.0000
4 Ba 0.0000 0.0000 0.0000
5 F 0.0000 0.5000 0.0000

Computed properties:
Its energy relative to the lowest polymorph listed for this composition is 6.41 eV per formula unit. The space group is No. 221.



# 3
# SrCoPb2

A geometry-optimized SrCoPb2 structure (PBE, Alexandria via LeMat-Bulk).

a b c (Å): 5.6964 5.6964 9.2310
angles (deg): 72.03 72.03 90.00
Fractional positions:
1 Pb 0.8750 0.7204 0.7500
2 Sr 0.7500 0.2500 0.5000
3 Pb 0.4704 0.1250 0.2500
4 Co 0.2500 0.7500 0.5000
5 Pb 0.2796 0.6250 0.2500
6 Pb 0.3750 0.5296 0.7500
7 Co 0.5000 0.5000 0.0000
8 Sr 0.0000 0.0000 0.0000

Computed properties:
As for the formation energy: 255.8 meV per atom. The space group is No. 122.



# 4
# LiZrFe2

A geometry-optimized LiZrFe2 structure (PBE, Alexandria via LeMat-Bulk).

a b c (Å): 4.8262 4.8262 4.8262
angles (deg): 133.88 133.88 67.27
Fractional positions:
1 Fe 0.0000 0.0000 0.0000
2 Fe 0.5000 0.5000 0.0000
3 Zr 0.7500 0.2500 0.5000
4 Li 0.2500 0.7500 0.5000

Computed properties:
As for the formation energy: 210.5 meV per atom. The space group is No. 139.



# 5
# Ca2YP

A geometry-optimized Ca2YP structure (PBE, Alexandria via LeMat-Bulk).

a b c (Å): 4.0284 6.7907 6.7910
angles (deg): 48.04 90.00 90.00
Fractional positions:
1 Y 0.5000 0.7500 0.7500
2 Ca 0.0000 0.4063 0.4065
3 Ca 0.0000 0.0937 0.0935
4 P 0.5000 0.2500 0.2500

Computed properties:
As for the formation energy: -532.6 meV per atom. The space group is No. 65.



# 6
# PrSm2DyEr

A geometry-optimized PrSm2DyEr structure (PBE, Alexandria via LeMat-Bulk).

a b c (Å): 6.5538 8.4355 6.2371
angles (deg): 94.85 90.00 90.00
Fractional positions:
1 Sm 0.6894 0.6892 0.7765
2 Er 0.1637 0.5000 0.7500
3 Dy 0.5650 0.0000 0.2500
4 Dy 0.4350 0.0000 0.7500
5 Pr 0.0000 0.0000 0.5000
6 Sm 0.3106 0.6892 0.2765
7 Sm 0.3106 0.3108 0.2235
8 Er 0.8363 0.5000 0.2500
9 Pr 0.0000 0.0000 0.0000
10 Sm 0.6894 0.3108 0.7235

Computed properties:
As for the formation energy: 286.1 meV per atom. The space group is No. 13.



# 7
# PaH2Cl4

A geometry-optimized PaH2Cl4 structure (PBE, Alexandria via LeMat-Bulk).

a b c (Å): 4.7023 7.3069 7.4463
angles (deg): 130.04 108.41 90.00
Fractional positions:
1 H 0.1772 0.3568 0.3543
2 Pa 0.0000 0.0000 0.0000
3 Cl 0.6285 0.2609 0.2571
4 Cl 0.8910 0.1615 0.7820
5 Cl 0.1090 0.8385 0.2180
6 Cl 0.3715 0.7391 0.7429
7 H 0.8228 0.6432 0.6457

Computed properties:
Its energy relative to the lowest polymorph listed for this composition is 0.00 eV per formula unit. The space group is No. 12.



# 8
# Cs3NaSn2Cl9

A geometry-optimized Cs3NaSn2Cl9 structure (PBE, Alexandria via LeMat-Bulk).

a b c (Å): 7.7836 7.7836 9.5100
angles (deg): 90.00 90.00 120.00
Fractional positions:
1 Cs 0.0000 0.0000 0.0000
2 Cs 0.3333 0.6667 0.6600
3 Sn 0.6667 0.3333 0.8281
4 Cl 0.5000 0.5000 0.0000
5 Na 0.0000 0.0000 0.5000
6 Cl 0.5000 0.0000 0.0000
7 Cl 0.8277 0.6553 0.6681
8 Cl 0.1723 0.8277 0.3319
9 Cl 0.1723 0.3447 0.3319
10 Sn 0.3333 0.6667 0.1719
11 Cl 0.6553 0.8277 0.3319
12 Cl 0.3447 0.1723 0.6681
13 Cl 0.8277 0.1723 0.6681
14 Cl 0.0000 0.5000 0.0000
15 Cs 0.6667 0.3333 0.3400

Computed properties:
Its formation energy without anion corrections is -1.530 eV per atom. The space group is No. 164.



# 9
# CdNi4Cl

A geometry-optimized CdNi4Cl structure (PBE, Alexandria via LeMat-Bulk).

a b c (Å): 4.9300 4.9300 4.9300
angles (deg): 60.00 60.00 60.00
Fractional positions:
1 Ni 0.3760 0.3760 0.3760
2 Ni 0.3760 0.3760 0.8719
3 Cd 0.7500 0.7500 0.7500
4 Ni 0.8719 0.3760 0.3760
5 Ni 0.3760 0.8719 0.3760
6 Cl 0.0000 0.0000 0.0000

Computed properties:
Its formation energy without anion corrections is 0.416 eV per atom. The space group is No. 216.



# 10
# PrIn4Ni2

A geometry-optimized PrIn4Ni2 structure (PBE, Alexandria via LeMat-Bulk).

a b c (Å): 4.5109 7.0380 18.3818
angles (deg): 90.00 90.00 90.00
Fractional positions:
1 In 0.7500 0.7349 0.3034
2 Ni 0.2500 0.9657 0.7829
3 In 0.2500 0.3435 0.0319
4 Pr 0.2500 0.4793 0.8606
5 Ni 0.2500 0.7565 0.5400
6 In 0.7500 0.0073 0.0727
7 In 0.2500 0.2349 0.1966
8 In 0.2500 0.1565 0.5319
9 Pr 0.7500 0.9793 0.6394
10 In 0.2500 0.5073 0.4273
11 Ni 0.7500 0.0343 0.2172
12 Ni 0.7500 0.4657 0.7171
13 Ni 0.2500 0.7435 0.0400
14 Ni 0.7500 0.2565 0.9600
15 In 0.2500 0.8236 0.1843
16 In 0.2500 0.6764 0.6843
17 In 0.7500 0.8435 0.4681
18 In 0.2500 0.2651 0.6966
19 Ni 0.7500 0.2435 0.4600
20 In 0.7500 0.6565 0.9681
21 Pr 0.7500 0.5207 0.1394
22 In 0.7500 0.7651 0.8034
23 In 0.7500 0.4927 0.5727
24 Pr 0.2500 0.0207 0.3606
25 Ni 0.2500 0.5343 0.2828
26 In 0.2500 0.9927 0.9273
27 In 0.7500 0.3236 0.3157
28 In 0.7500 0.1764 0.8157

Computed properties:
As for the formation energy: -314.7 meV per atom. Its energy relative to the lowest polymorph listed for this composition is 0.00 eV per formula unit. The space group is No. 62.



# 11
# CuBr

A geometry-optimized CuBr structure (PBE, Alexandria via LeMat-Bulk).

a b c (Å): 3.3807 3.3807 3.3807
angles (deg): 90.00 90.00 90.00
Fractional positions:
1 Br 0.0000 0.0000 0.0000
2 Cu 0.5000 0.5000 0.5000

Computed properties:
Its formation energy without anion corrections is 0.269 eV per atom. The space group is No. 221.



# 12
# K3Rb2Na2

A geometry-optimized K3Rb2Na2 structure (PBE, Alexandria via LeMat-Bulk).

a b c (Å): 4.8524 4.7832 20.4454
angles (deg): 90.00 96.82 90.00
Fractional positions:
1 K 0.5759 0.5000 0.1518
2 Na 0.1306 0.0000 0.2613
3 K 0.0000 0.0000 0.0000
4 Na 0.8694 0.0000 0.7387
5 Rb 0.3029 0.5000 0.6058
6 K 0.4241 0.5000 0.8482
7 Rb 0.6971 0.5000 0.3942

Computed properties:
As for the formation energy: 24.6 meV per atom. Its energy relative to the lowest polymorph listed for this composition is 0.00 eV per formula unit. The space group is No. 65.



no.,Fermi-level density of states (states/eV per atom)
1,0.509
2,3.091
3,0.325
4,1.219
5,0.942
6,1.228
7,0.313
8,0.258
9,1.452
10,0.529
11,0.452
12,0.572